A relaxed CsU2Br8 crystal, computed with PBE-GGA.

Structure (CIF):
```
data_CsU2Br8
_cell_length_a 5.848
_cell_length_b 8.263
_cell_length_c 8.263
_cell_angle_alpha 112.95
_cell_angle_beta 94.75
_cell_angle_gamma 94.75
_space_group_name_H-M_alt 'P 1'
_space_group_IT_number 1
loop_
_space_group_symop_operation_xyz
'x,y,z'
loop_
_atom_site_label
_atom_site_type_symbol
_atom_site_fract_x
_atom_site_fract_y
_atom_site_fract_z
U1 U 0.000 0.322 0.678
U2 U 0.000 0.678 0.322
Cs1 Cs 0.500 0.000 0.000
Br1 Br 0.930 0.951 0.671
Br2 Br 0.731 0.407 0.407
Br3 Br 0.070 0.329 0.049
Br4 Br 0.500 0.269 0.731
Br5 Br 0.930 0.671 0.951
Br6 Br 0.500 0.731 0.269
Br7 Br 0.269 0.593 0.593
Br8 Br 0.070 0.049 0.329
```

Magnetization in μB per formula unit: 5.0
Formation energy (no corrections) in kJ/mol of formula units: -1465.1

---

A relaxed Pu2HfZr crystal, computed with PBE-GGA.

Structure (CIF):
```
data_Pu2HfZr
_cell_length_a 5.121
_cell_length_b 5.121
_cell_length_c 5.121
_cell_angle_alpha 60.00
_cell_angle_beta 60.00
_cell_angle_gamma 60.00
_space_group_name_H-M_alt 'P 1'
_space_group_IT_number 1
loop_
_space_group_symop_operation_xyz
'x,y,z'
loop_
_atom_site_label
_atom_site_type_symbol
_atom_site_fract_x
_atom_site_fract_y
_atom_site_fract_z
Pu1 Pu 0.250 0.250 0.250
Pu2 Pu 0.750 0.750 0.750
Zr1 Zr 0.000 0.000 0.000
Hf1 Hf 0.500 0.500 0.500
```

Magnetization in μB per formula unit: 11.3

---

A relaxed BaSbW2 crystal, computed with PBE-GGA.

Structure (CIF):
```
data_BaSbW2
_cell_length_a 6.029
_cell_length_b 6.029
_cell_length_c 2.919
_cell_angle_alpha 90.00
_cell_angle_beta 90.00
_cell_angle_gamma 119.08
_space_group_name_H-M_alt 'P 1'
_space_group_IT_number 1
loop_
_space_group_symop_operation_xyz
'x,y,z'
loop_
_atom_site_label
_atom_site_type_symbol
_atom_site_fract_x
_atom_site_fract_y
_atom_site_fract_z
W1 W 0.000 0.000 0.000
W2 W 0.500 0.500 0.000
Ba1 Ba 0.500 0.000 0.500
Sb1 Sb 0.000 0.500 0.500
```

Magnetization in μB per formula unit: 0.0
Formation energy (no corrections) in kJ/mol of formula units: 602.6

---

| no. | density of states at the Fermi level (states/eV/atom) | electronic total energy (eV/atom) |
| --- | --- | --- |
| 1 | 1.61 | -4.727 |
| 2 | 2.66 | -11.499 |
| 3 | 1.25 | -6.426 |